# 1
A plane-wave DFT calculation with GGA-PBE was carried out for an optimized crystal structure of ErZr2Pd6.

Summary:
E_tot, eV/cell: -58.349
Space-group type: C2/m (12)
Mass density, g cm⁻³: 9.65

a = 8.1847 Å, b = 8.1847 Å, c = 3.2977 Å
α = 101.46°, β = 101.46°, γ = 52.14°
Last column: nearest neighbours and their distance in Å.
Sites, in units of the cell vectors:
Er 0.0000 0.0000 0.0000  4 Pd 2.81
Zr 0.3593 0.3593 0.8592  10 Pd 2.81-2.94
Zr 0.6407 0.6407 0.1408  10 Pd 2.81-2.94
Pd 0.0144 0.6295 0.3214  4 Pd 2.70-2.77, 3 Zr 2.81-2.94
Pd 0.3157 0.6843 0.5000  3 Pd 2.65-2.70, 2 Er 2.81, 4 Zr 2.92-2.93
Pd 0.3705 0.9856 0.6786  4 Pd 2.70-2.77, 3 Zr 2.81-2.94
Pd 0.6295 0.0144 0.3214  4 Pd 2.70-2.77, 3 Zr 2.81-2.94
Pd 0.6843 0.3157 0.5000  3 Pd 2.65-2.70, 2 Er 2.81, 4 Zr 2.92-2.93
Pd 0.9856 0.3705 0.6786  4 Pd 2.70-2.77, 3 Zr 2.81-2.94

# 2
A plane-wave DFT calculation with GGA-PBE was carried out for an optimized crystal structure of Pa2InGe.

Summary:
E above lowest polymorph, eV per atom: 0.0633
E_tot, eV/cell: -26.788
Space-group type: P4/mmm (123)
Mass density, g cm⁻³: 11.48

a = 4.6108 Å, b = 4.6108 Å, c = 4.4180 Å
α = 90.00°, β = 90.00°, γ = 90.00°
Last column: nearest neighbours and their distance in Å.
Sites, in units of the cell vectors:
Pa 0.0000 0.5000 0.0000  4 Ge 3.19, 4 In 3.19, 4 Pa 3.26
Pa 0.5000 0.0000 0.0000  4 Ge 3.19, 4 In 3.19, 4 Pa 3.26
In 0.0000 0.0000 0.5000  8 Pa 3.19, 4 Ge 3.26
Ge 0.5000 0.5000 0.5000  8 Pa 3.19, 4 In 3.26

# 3
A plane-wave DFT calculation with GGA-PBE was carried out for an optimized crystal structure of BaLi12Tl6.

Summary:
E_tot, eV/cell: -42.084
Space-group type: R-3m (166)
Mass density, g cm⁻³: 5.52

a = 7.8212 Å, b = 7.8212 Å, c = 7.8212 Å
α = 102.97°, β = 102.97°, γ = 102.97°
Last column: nearest neighbours and their distance in Å.
Sites, in units of the cell vectors:
Ba 0.0000 0.0000 0.0000  18 Li 3.77-4.14, 6 Tl 4.13
Li 0.1102 0.5000 0.8898  3 Li 2.70-2.95, 4 Tl 2.78-2.86
Li 0.1102 0.8898 0.5000  3 Li 2.70-2.95, 4 Tl 2.78-2.86
Li 0.1214 0.4112 0.4112  4 Tl 2.84-3.11, 3 Li 2.95-2.99
Li 0.4112 0.1214 0.4112  4 Tl 2.84-3.11, 3 Li 2.95-2.99
Li 0.4112 0.4112 0.1214  4 Tl 2.84-3.11, 3 Li 2.95-2.99
Li 0.5000 0.1102 0.8898  3 Li 2.70-2.95, 4 Tl 2.78-2.86
Li 0.5000 0.8898 0.1102  3 Li 2.70-2.95, 4 Tl 2.78-2.86
Li 0.5888 0.5888 0.8786  4 Tl 2.84-3.11, 3 Li 2.95-2.99
Li 0.5888 0.8786 0.5888  4 Tl 2.84-3.11, 3 Li 2.95-2.99
Li 0.8786 0.5888 0.5888  4 Tl 2.84-3.11, 3 Li 2.95-2.99
Li 0.8898 0.1102 0.5000  3 Li 2.70-2.95, 4 Tl 2.78-2.86
Li 0.8898 0.5000 0.1102  3 Li 2.70-2.95, 4 Tl 2.78-2.86
Tl 0.2695 0.2695 0.6963  8 Li 2.78-3.11
Tl 0.2695 0.6963 0.2695  8 Li 2.78-3.11
Tl 0.3037 0.7305 0.7305  8 Li 2.78-3.11
Tl 0.6963 0.2695 0.2695  8 Li 2.78-3.11
Tl 0.7305 0.3037 0.7305  8 Li 2.78-3.11
Tl 0.7305 0.7305 0.3037  8 Li 2.78-3.11

# 4
A plane-wave DFT calculation with GGA-PBE was carried out for an optimized crystal structure of DyAl3Ag10.

Summary:
E_tot, eV/cell: -87.803
Space-group type: Fm-3m (225)
Mass density, g cm⁻³: 7.93

a = 9.2190 Å, b = 9.2190 Å, c = 9.2190 Å
α = 60.00°, β = 60.00°, γ = 60.00°
Last column: nearest neighbours and their distance in Å.
Sites, in units of the cell vectors:
Dy 0.2500 0.2500 0.2500  4 Ag 2.98
Dy 0.7500 0.7500 0.7500  4 Ag 2.98
Al 0.2364 0.2364 0.7636  8 Ag 2.55-2.67
Al 0.2364 0.7636 0.2364  8 Ag 2.55-2.67
Al 0.2364 0.7636 0.7636  8 Ag 2.55-2.67
Al 0.7636 0.2364 0.2364  8 Ag 2.55-2.67
Al 0.7636 0.2364 0.7636  8 Ag 2.55-2.67
Al 0.7636 0.7636 0.2364  8 Ag 2.55-2.67
Ag 0.1181 0.1181 0.1181  3 Al 2.67, 1 Dy 2.98
Ag 0.1181 0.1181 0.6457  3 Al 2.67, 1 Dy 2.98
Ag 0.1181 0.6457 0.1181  3 Al 2.67, 1 Dy 2.98
Ag 0.1529 0.5000 0.5000  2 Al 2.55, 1 Ag 2.82
Ag 0.1529 0.5000 0.8471  2 Al 2.55, 1 Ag 2.82
Ag 0.1529 0.8471 0.5000  2 Al 2.55, 1 Ag 2.82
Ag 0.3543 0.8819 0.8819  3 Al 2.67, 1 Dy 2.98
Ag 0.5000 0.1529 0.5000  2 Al 2.55, 1 Ag 2.82
Ag 0.5000 0.1529 0.8471  2 Al 2.55, 1 Ag 2.82
Ag 0.5000 0.5000 0.1529  2 Al 2.55, 1 Ag 2.82
Ag 0.5000 0.5000 0.8471  2 Al 2.55, 1 Ag 2.82
Ag 0.5000 0.8471 0.1529  2 Al 2.55, 1 Ag 2.82
Ag 0.5000 0.8471 0.5000  2 Al 2.55, 1 Ag 2.82
Ag 0.6457 0.1181 0.1181  3 Al 2.67, 1 Dy 2.98
Ag 0.8471 0.1529 0.5000  2 Al 2.55, 1 Ag 2.82
Ag 0.8471 0.5000 0.1529  2 Al 2.55, 1 Ag 2.82
Ag 0.8471 0.5000 0.5000  2 Al 2.55, 1 Ag 2.82
Ag 0.8819 0.3543 0.8819  3 Al 2.67, 1 Dy 2.98
Ag 0.8819 0.8819 0.3543  3 Al 2.67, 1 Dy 2.98
Ag 0.8819 0.8819 0.8819  3 Al 2.67, 1 Dy 2.98

# 5
A plane-wave DFT calculation with GGA-PBE was carried out for an optimized crystal structure of BaTi2N.

Summary:
E_tot, eV/cell: -54.822
Formation energy (no corrections), eV/f.u.: -1.4
Space-group type: Fd-3m (227)
Mass density, g cm⁻³: 4.35

a = 6.4369 Å, b = 6.4369 Å, c = 6.4369 Å
α = 60.00°, β = 60.00°, γ = 60.00°
Last column: nearest neighbours and their distance in Å.
Sites, in units of the cell vectors:
Ba 0.1250 0.1250 0.1250  12 Ti 3.77, 4 Ba 3.94, 4 N 3.94
Ba 0.8750 0.8750 0.8750  12 Ti 3.77, 4 Ba 3.94, 4 N 3.94
Ti 0.0000 0.5000 0.5000  2 N 1.97
Ti 0.5000 0.0000 0.5000  2 N 1.97
Ti 0.5000 0.5000 0.0000  2 N 1.97
Ti 0.5000 0.5000 0.5000  2 N 1.97
N 0.3750 0.3750 0.3750  4 Ti 1.97
N 0.6250 0.6250 0.6250  4 Ti 1.97

# 6
A plane-wave DFT calculation with GGA-PBE was carried out for an optimized crystal structure of CaAgOF2.

Summary:
E above lowest polymorph, eV per atom: 0.0000
E_tot, eV/cell: -22.391
Formation energy (no corrections), eV/f.u.: -8.8
Space-group type: P4/mmm (123)
Mass density, g cm⁻³: 3.84

a = 4.3403 Å, b = 4.3403 Å, c = 4.6352 Å
α = 90.00°, β = 90.00°, γ = 90.00°
Last column: nearest neighbours and their distance in Å.
Sites, in units of the cell vectors:
Ca 0.0000 0.0000 0.0000  4 F 2.17, 2 O 2.32
Ag 0.5000 0.5000 0.5000  4 O 3.07, 8 F 3.18
O 0.0000 0.0000 0.5000  2 Ca 2.32
F 0.0000 0.5000 0.0000  2 Ca 2.17
F 0.5000 0.0000 0.0000  2 Ca 2.17

# 7
A plane-wave DFT calculation with GGA-PBE was carried out for an optimized crystal structure of MgAu2.

Summary:
E_tot, eV/cell: -9.012
Space-group type: Fm-3m (225)
Mass density, g cm⁻³: 11.19

a = 4.4444 Å, b = 4.4444 Å, c = 4.4444 Å
α = 60.00°, β = 60.00°, γ = 60.00°
Last column: nearest neighbours and their distance in Å.
Sites, in units of the cell vectors:
Mg 0.0000 0.0000 0.0000  8 Au 2.72
Au 0.2500 0.2500 0.2500  4 Mg 2.72
Au 0.7500 0.7500 0.7500  4 Mg 2.72

# 8
A plane-wave DFT calculation with GGA-PBE was carried out for an optimized crystal structure of Sc2BeFeI.

Summary:
E_tot, eV/cell: -22.309
Formation energy (no corrections), eV/f.u.: 4.1
Space-group type: P4/mmm (123)
Mass density, g cm⁻³: 4.23

a = 4.8516 Å, b = 4.8516 Å, c = 4.7017 Å
α = 90.00°, β = 90.00°, γ = 90.00°
Last column: nearest neighbours and their distance in Å.
Sites, in units of the cell vectors:
Sc 0.0000 0.5000 0.0000  2 Be 2.43
Sc 0.5000 0.0000 0.0000  2 Be 2.43
Be 0.0000 0.0000 0.0000  2 I 2.35, 4 Sc 2.43
Fe 0.5000 0.5000 0.5000  8 Sc 3.38, 4 I 3.43
I 0.0000 0.0000 0.5000  2 Be 2.35